A relaxed structure of HfNb3Si, computed with GGA-PBE.

Cell lengths 4.704, 4.704, 4.704 Å; angles 90.00, 90.00, 90.00 degrees
Fractional coordinates of all 5 atoms:
Nb: 0.000 0.500 0.000
Nb: 0.000 0.000 0.500
Nb: 0.500 0.000 0.000
Hf: 0.500 0.500 0.500
Si: 0.000 0.000 0.000

The value obtained for the density is 7.7 Mg/m³. For the energy relative to the elements, uncorrected, the calculation gives 436 meV/atom. The total DFT energy (no corrections) comes out at -8.681 eV per atom. The value obtained for the offset from the most stable computed form is 1.35 eV/f.u.